Entry 1:
The following is a DFT calculation (PBE) of a relaxed Hf2BPt crystal.

## Properties
* size of the total moment: 1.0 μB per formula unit
* mass density: 14.444 Mg/m³
* total DFT energy (no corrections): -7.743 eV/atom

Cell lengths 6.373, 6.373, 6.373 Å; angles 90.00, 90.00, 90.00 degrees
Fractional coordinates of all 16 atoms:
Hf 0.000 0.000 0.000
Hf 0.000 0.500 0.500
Hf 0.250 0.250 0.250
Hf 0.250 0.750 0.750
Hf 0.500 0.000 0.500
Hf 0.500 0.500 0.000
Hf 0.750 0.250 0.750
Hf 0.750 0.750 0.250
B 0.000 0.000 0.500
B 0.000 0.500 0.000
B 0.500 0.000 0.000
B 0.500 0.500 0.500
Pt 0.250 0.250 0.750
Pt 0.250 0.750 0.250
Pt 0.750 0.250 0.250
Pt 0.750 0.750 0.750

***

Entry 2:
The following is a DFT calculation (PBE) of a relaxed KPrBeS3 crystal.

## Properties
* size of the total moment: 0.0 μB per formula unit
* mass density: 3.079 Mg/m³
* total DFT energy (no corrections): -5.163 eV/atom

Cell lengths 7.289, 7.289, 10.938 Å; angles 90.00, 90.00, 148.04 degrees
Fractional coordinates of all 12 atoms:
K 0.243 0.757 0.750
K 0.757 0.243 0.250
Pr 0.500 0.500 0.000
Pr 0.500 0.500 0.500
Be 0.040 0.960 0.250
Be 0.960 0.040 0.750
S 0.122 0.878 0.092
S 0.122 0.878 0.408
S 0.445 0.555 0.250
S 0.555 0.445 0.750
S 0.878 0.122 0.592
S 0.878 0.122 0.908

***

Entry 3:
The following is a DFT calculation (PBE) of a relaxed SrScZnSe3 crystal.

## Properties
* size of the total moment: 0.7 μB per formula unit
* mass density: 4.997 Mg/m³
* total DFT energy (no corrections): -4.622 eV/atom

Cell lengths 7.253, 7.253, 10.342 Å; angles 90.00, 90.00, 147.91 degrees
Fractional coordinates of all 12 atoms:
Sr 0.240 0.760 0.750
Sr 0.760 0.240 0.250
Sc 0.000 0.000 0.000
Sc 0.000 0.000 0.500
Zn 0.473 0.527 0.250
Zn 0.527 0.473 0.750
Se 0.082 0.918 0.250
Se 0.366 0.634 0.060
Se 0.366 0.634 0.440
Se 0.634 0.366 0.560
Se 0.634 0.366 0.940
Se 0.918 0.082 0.750

***

Entry 4:
The following is a DFT calculation (PBE) of a relaxed Gd3Cd2InAgPt2 crystal.

## Properties
* size of the total moment: 0.0 μB per formula unit
* mass density: 10.698 Mg/m³
* total DFT energy (no corrections): -4.478 eV/atom

Cell lengths 3.851, 7.807, 7.807 Å; angles 120.02, 90.00, 90.00 degrees
Fractional coordinates of all 9 atoms:
Gd 0.000 0.000 0.000
Gd 0.000 0.176 0.591
Gd 0.000 0.591 0.176
Cd 0.500 0.588 0.852
Cd 0.500 0.852 0.588
In 0.500 0.328 0.328
Ag 0.000 0.589 0.589
Pt 0.500 0.256 0.926
Pt 0.500 0.926 0.256

***

Entry 5:
The following is a DFT calculation (PBE) of a relaxed LiMgCoMo crystal.

## Properties
* excess energy over the best structure of this formula in the dataset: 0.0 meV/atom
* size of the total moment: 0.0 μB per formula unit
* mass density: 5.792 Mg/m³
* total DFT energy (no corrections): -5.162 eV/atom

Cell lengths 5.976, 5.976, 5.976 Å; angles 90.00, 90.00, 90.00 degrees
Fractional coordinates of all 16 atoms:
Li 0.000 0.000 0.000
Li 0.000 0.500 0.500
Li 0.500 0.000 0.500
Li 0.500 0.500 0.000
Mg 0.250 0.250 0.750
Mg 0.250 0.750 0.250
Mg 0.750 0.250 0.250
Mg 0.750 0.750 0.750
Co 0.000 0.000 0.500
Co 0.000 0.500 0.000
Co 0.500 0.000 0.000
Co 0.500 0.500 0.500
Mo 0.250 0.250 0.250
Mo 0.250 0.750 0.750
Mo 0.750 0.250 0.750
Mo 0.750 0.750 0.250

***

Entry 6:
The following is a DFT calculation (PBE) of a relaxed Sm2Dy2CI2Br3 crystal.

## Properties
* excess energy over the best structure of this formula in the dataset: 3.2 meV/atom
* size of the total moment: 0.3 μB per formula unit
* mass density: 6.195 Mg/m³
* total DFT energy (no corrections): -4.893 eV/atom

Cell lengths 9.634, 9.634, 8.361 Å; angles 101.33, 101.33, 23.51 degrees
Fractional coordinates of all 10 atoms:
Sm 0.002 0.002 0.297
Sm 0.998 0.998 0.703
Dy 0.371 0.371 0.440
Dy 0.629 0.629 0.560
C 0.500 0.500 0.500
I 0.167 0.167 0.841
I 0.833 0.833 0.159
Br 0.165 0.165 0.335
Br 0.500 0.500 0.000
Br 0.835 0.835 0.665

***

Entry 7:
The following is a DFT calculation (PBE) of a relaxed Li2HgIrN crystal.

## Properties
* size of the total moment: 0.0 μB per formula unit
* mass density: 9.897 Mg/m³
* total DFT energy (no corrections): -4.548 eV/atom

Cell lengths 4.333, 4.333, 3.760 Å; angles 90.00, 90.00, 90.00 degrees
Fractional coordinates of all 5 atoms:
Li 0.000 0.500 0.000
Li 0.500 0.000 0.000
Hg 0.000 0.000 0.500
Ir 0.500 0.500 0.500
N 0.500 0.500 0.000

***

Entry 8:
The following is a DFT calculation (PBE) of a relaxed Y2Lu4Ge3C3 crystal.

## Properties
* size of the total moment: 0.0 μB per formula unit
* mass density: 7.946 Mg/m³
* total DFT energy (no corrections): -6.605 eV/atom

Cell lengths 6.087, 6.087, 15.169 Å; angles 101.63, 101.63, 59.90 degrees
Fractional coordinates of all 24 atoms:
Y 0.033 0.870 0.599
Y 0.130 0.967 0.901
Y 0.870 0.033 0.099
Y 0.967 0.130 0.401
Lu 0.195 0.360 0.086
Lu 0.303 0.473 0.415
Lu 0.360 0.195 0.586
Lu 0.473 0.303 0.915
Lu 0.527 0.697 0.085
Lu 0.640 0.805 0.414
Lu 0.697 0.527 0.585
Lu 0.805 0.640 0.914
Ge 0.083 0.368 0.750
Ge 0.368 0.083 0.250
Ge 0.456 0.544 0.250
Ge 0.544 0.456 0.750
Ge 0.632 0.917 0.750
Ge 0.917 0.632 0.250
C 0.000 0.500 0.500
C 0.164 0.673 0.000
C 0.327 0.836 0.500
C 0.500 0.000 0.000
C 0.673 0.164 0.500
C 0.836 0.327 0.000

***

Entry 9:
The following is a DFT calculation (PBE) of a relaxed SmMgZr crystal.

## Properties
* excess energy over the best structure of this formula in the dataset: 356.0 meV/atom
* size of the total moment: 1.3 μB per formula unit
* mass density: 4.698 Mg/m³
* total DFT energy (no corrections): -3.926 eV/atom

Cell lengths 7.217, 7.217, 7.217 Å; angles 90.00, 90.00, 90.00 degrees
Fractional coordinates of all 12 atoms:
Sm 0.000 0.000 0.000
Sm 0.000 0.500 0.500
Sm 0.500 0.000 0.500
Sm 0.500 0.500 0.000
Mg 0.250 0.250 0.750
Mg 0.250 0.750 0.250
Mg 0.750 0.250 0.250
Mg 0.750 0.750 0.750
Zr 0.250 0.250 0.250
Zr 0.250 0.750 0.750
Zr 0.750 0.250 0.750
Zr 0.750 0.750 0.250

***

Entry 10:
The following is a DFT calculation (PBE) of a relaxed SmMgZnAg crystal.

## Properties
* size of the total moment: 0.0 μB per formula unit
* mass density: 6.720 Mg/m³
* total DFT energy (no corrections): -2.916 eV/atom

Cell lengths 7.006, 7.006, 7.006 Å; angles 90.00, 90.00, 90.00 degrees
Fractional coordinates of all 16 atoms:
Sm 0.000 0.000 0.000
Sm 0.000 0.500 0.500
Sm 0.500 0.000 0.500
Sm 0.500 0.500 0.000
Mg 0.000 0.000 0.500
Mg 0.000 0.500 0.000
Mg 0.500 0.000 0.000
Mg 0.500 0.500 0.500
Zn 0.250 0.250 0.750
Zn 0.250 0.750 0.250
Zn 0.750 0.250 0.250
Zn 0.750 0.750 0.750
Ag 0.250 0.250 0.250
Ag 0.250 0.750 0.750
Ag 0.750 0.250 0.750
Ag 0.750 0.750 0.250

***

Entry 11:
The following is a DFT calculation (PBE) of a relaxed SiSn3Ir4 crystal.

## Properties
* size of the total moment: 0.0 μB per formula unit
* mass density: 12.994 Mg/m³
* total DFT energy (no corrections): -6.885 eV/atom

Cell lengths 5.768, 3.843, 6.647 Å; angles 90.00, 90.51, 90.00 degrees
Fractional coordinates of all 8 atoms:
Si 0.000 0.000 0.000
Sn 0.429 0.500 0.183
Sn 0.491 0.000 0.673
Sn 0.922 0.500 0.512
Ir 0.197 0.000 0.349
Ir 0.199 0.500 0.841
Ir 0.728 0.000 0.280
Ir 0.730 0.500 0.885

***

Entry 12:
The following is a DFT calculation (PBE) of a relaxed BaCuP crystal.

## Properties
* mass density: 4.917 Mg/m³
* total DFT energy (no corrections): -3.683 eV/atom

Cell lengths 5.305, 5.305, 6.424 Å; angles 90.00, 90.00, 120.00 degrees
Fractional coordinates of all 6 atoms:
Ba 0.333 0.667 0.250
Ba 0.667 0.333 0.750
Cu 0.000 0.000 0.000
Cu 0.000 0.000 0.500
P 0.333 0.667 0.750
P 0.667 0.333 0.250

***

Entry 13:
The following is a DFT calculation (PBE) of a relaxed BeTlOs crystal.

## Properties
* excess energy over the best structure of this formula in the dataset: 0.0 meV/atom
* size of the total moment: 0.0 μB per formula unit
* mass density: 14.119 Mg/m³
* total DFT energy (no corrections): -5.017 eV/atom

Cell lengths 5.748, 5.748, 5.748 Å; angles 90.00, 90.00, 90.00 degrees
Fractional coordinates of all 12 atoms:
Be 0.000 0.000 0.000
Be 0.000 0.500 0.500
Be 0.500 0.000 0.500
Be 0.500 0.500 0.000
Tl 0.250 0.250 0.250
Tl 0.250 0.750 0.750
Tl 0.750 0.250 0.750
Tl 0.750 0.750 0.250
Os 0.250 0.250 0.750
Os 0.250 0.750 0.250
Os 0.750 0.250 0.250
Os 0.750 0.750 0.750

***

Entry 14:
The following is a DFT calculation (PBE) of a relaxed SrLiErSe3 crystal.

## Properties
* excess energy over the best structure of this formula in the dataset: 39.5 meV/atom
* size of the total moment: 0.0 μB per formula unit
* mass density: 5.357 Mg/m³
* total DFT energy (no corrections): -4.869 eV/atom

Cell lengths 7.894, 4.128, 9.872 Å; angles 90.00, 106.04, 90.00 degrees
Fractional coordinates of all 12 atoms:
Sr 0.250 0.250 0.205
Sr 0.750 0.750 0.795
Li 0.414 0.250 0.911
Li 0.586 0.750 0.089
Er 0.192 0.750 0.655
Er 0.808 0.250 0.345
Se 0.065 0.750 0.355
Se 0.248 0.750 0.957
Se 0.437 0.250 0.664
Se 0.563 0.750 0.336
Se 0.752 0.250 0.043
Se 0.935 0.250 0.645

***

Entry 15:
The following is a DFT calculation (PBE) of a relaxed ScAlGePt crystal.

## Properties
* excess energy over the best structure of this formula in the dataset: 3.1 meV/atom
* size of the total moment: 0.0 μB per formula unit
* mass density: 8.143 Mg/m³
* total DFT energy (no corrections): -6.048 eV/atom

Cell lengths 9.906, 4.218, 6.633 Å; angles 90.00, 91.19, 90.00 degrees
Fractional coordinates of all 16 atoms:
Sc 0.076 0.000 0.250
Sc 0.424 0.500 0.750
Sc 0.576 0.500 0.250
Sc 0.924 0.000 0.750
Al 0.136 0.500 0.950
Al 0.364 0.000 0.050
Al 0.636 0.000 0.950
Al 0.864 0.500 0.050
Ge 0.124 0.500 0.545
Ge 0.376 0.000 0.455
Ge 0.624 0.000 0.545
Ge 0.876 0.500 0.455
Pt 0.205 0.000 0.744
Pt 0.295 0.500 0.256
Pt 0.705 0.500 0.744
Pt 0.795 0.000 0.256

***

Entry 16:
The following is a DFT calculation (PBE) of a relaxed NbTlCuAu crystal.

## Properties
* excess energy over the best structure of this formula in the dataset: 38.1 meV/atom
* size of the total moment: 0.3 μB per formula unit
* mass density: 12.785 Mg/m³
* total DFT energy (no corrections): -4.483 eV/atom

Cell lengths 6.617, 6.617, 6.617 Å; angles 90.00, 90.00, 90.00 degrees
Fractional coordinates of all 16 atoms:
Nb 0.000 0.000 0.000
Nb 0.000 0.500 0.500
Nb 0.500 0.000 0.500
Nb 0.500 0.500 0.000
Tl 0.000 0.000 0.500
Tl 0.000 0.500 0.000
Tl 0.500 0.000 0.000
Tl 0.500 0.500 0.500
Cu 0.250 0.250 0.750
Cu 0.250 0.750 0.250
Cu 0.750 0.250 0.250
Cu 0.750 0.750 0.750
Au 0.250 0.250 0.250
Au 0.250 0.750 0.750
Au 0.750 0.250 0.750
Au 0.750 0.750 0.250

***

Entry 17:
The following is a DFT calculation (PBE) of a relaxed UPaNb crystal.

## Properties
* excess energy over the best structure of this formula in the dataset: 311.7 meV/atom
* size of the total moment: 1.0 μB per formula unit
* mass density: 13.185 Mg/m³
* total DFT energy (no corrections): -9.442 eV/atom
* formation energy from the elements: 19.69 kcal/mol of atoms

Cell lengths 6.566, 6.566, 6.566 Å; angles 90.00, 90.00, 90.00 degrees
Fractional coordinates of all 12 atoms:
U 0.000 0.000 0.000
U 0.000 0.500 0.500
U 0.500 0.000 0.500
U 0.500 0.500 0.000
Pa 0.250 0.250 0.250
Pa 0.250 0.750 0.750
Pa 0.750 0.250 0.750
Pa 0.750 0.750 0.250
Nb 0.250 0.250 0.750
Nb 0.250 0.750 0.250
Nb 0.750 0.250 0.250
Nb 0.750 0.750 0.750

***

Entry 18:
The following is a DFT calculation (PBE) of a relaxed NdDyGa2Ni4 crystal.

## Properties
* size of the total moment: 0.0 μB per formula unit
* mass density: 8.263 Mg/m³
* total DFT energy (no corrections): -5.252 eV/atom

Cell lengths 4.166, 4.166, 9.103 Å; angles 90.00, 90.00, 120.00 degrees
Fractional coordinates of all 8 atoms:
Nd 0.000 0.000 0.000
Dy 0.667 0.333 0.500
Ga 0.333 0.667 0.258
Ga 0.333 0.667 0.742
Ni 0.000 0.000 0.317
Ni 0.000 0.000 0.683
Ni 0.667 0.333 0.200
Ni 0.667 0.333 0.800

***

Entry 19:
The following is a DFT calculation (PBE) of a relaxed AlReTe crystal.

## Properties
* excess energy over the best structure of this formula in the dataset: 0.0 meV/atom
* size of the total moment: 0.0 μB per formula unit
* mass density: 9.283 Mg/m³
* total DFT energy (no corrections): -5.962 eV/atom

Cell lengths 6.247, 6.247, 6.247 Å; angles 90.00, 90.00, 90.00 degrees
Fractional coordinates of all 12 atoms:
Al 0.000 0.000 0.000
Al 0.000 0.500 0.500
Al 0.500 0.000 0.500
Al 0.500 0.500 0.000
Re 0.250 0.250 0.250
Re 0.250 0.750 0.750
Re 0.750 0.250 0.750
Re 0.750 0.750 0.250
Te 0.000 0.000 0.500
Te 0.000 0.500 0.000
Te 0.500 0.000 0.000
Te 0.500 0.500 0.500